# Pu3V5H12 PBE optimized geometry
# final energy = -6.5490 eV per atom
# DOS(E_F) = 105.2 states/eV/cell
data_Pu3V5H12
_chemical_formula_sum 'Pu12 V20 H48'
_cell_length_a 9.964
_cell_length_b 9.964
_cell_length_c 9.964
_cell_angle_alpha 109.47
_cell_angle_beta 109.47
_cell_angle_gamma 109.47
_space_group_name_H-M_alt 'P 1'
_space_group_IT_number 1
loop_
_space_group_symop_operation_xyz
'x,y,z'
loop_
_atom_site_label
_atom_site_type_symbol
_atom_site_fract_x
_atom_site_fract_y
_atom_site_fract_z
H1 H 0.533 0.202 0.117
H2 H 0.086 0.169 0.202
H3 H 0.383 0.967 0.798
H4 H 0.033 0.416 0.831
H5 H 0.586 0.702 0.669
H6 H 0.033 0.617 0.702
H7 H 0.383 0.416 0.086
H8 H 0.331 0.533 0.416
H9 H 0.702 0.586 0.169
H10 H 0.586 0.883 0.416
H11 H 0.584 0.967 0.669
H12 H 0.702 0.117 0.033
H13 H 0.202 0.669 0.086
H14 H 0.467 0.798 0.883
H15 H 0.617 0.584 0.914
H16 H 0.617 0.033 0.202
H17 H 0.831 0.916 0.033
H18 H 0.831 0.914 0.298
H19 H 0.883 0.586 0.916
H20 H 0.298 0.883 0.967
H21 H 0.084 0.169 0.467
H22 H 0.414 0.117 0.584
H23 H 0.117 0.702 0.533
H24 H 0.967 0.383 0.298
H25 H 0.883 0.298 0.467
H26 H 0.169 0.084 0.967
H27 H 0.669 0.202 0.586
H28 H 0.914 0.831 0.798
H29 H 0.467 0.669 0.084
H30 H 0.669 0.467 0.584
H31 H 0.416 0.383 0.586
H32 H 0.798 0.331 0.914
H33 H 0.298 0.414 0.831
H34 H 0.202 0.533 0.617
H35 H 0.416 0.033 0.331
H36 H 0.584 0.617 0.414
H37 H 0.414 0.298 0.331
H38 H 0.916 0.086 0.883
H39 H 0.914 0.084 0.617
H40 H 0.084 0.914 0.117
H41 H 0.798 0.467 0.383
H42 H 0.086 0.916 0.383
H43 H 0.533 0.331 0.916
H44 H 0.967 0.584 0.169
H45 H 0.916 0.831 0.533
H46 H 0.169 0.086 0.702
H47 H 0.331 0.798 0.414
H48 H 0.117 0.414 0.084
V1 V 0.125 0.375 0.250
V2 V 0.625 0.750 0.875
V3 V 0.375 0.250 0.125
V4 V 0.625 0.875 0.250
V5 V 0.000 0.500 0.500
V6 V 0.000 0.000 0.500
V7 V 0.375 0.125 0.750
V8 V 0.000 0.000 0.000
V9 V 0.500 0.000 0.000
V10 V 0.250 0.875 0.125
V11 V 0.750 0.125 0.875
V12 V 0.500 0.000 0.500
V13 V 0.750 0.625 0.375
V14 V 0.875 0.250 0.625
V15 V 0.125 0.750 0.375
V16 V 0.250 0.375 0.625
V17 V 0.000 0.500 0.000
V18 V 0.500 0.500 0.000
V19 V 0.875 0.625 0.750
V20 V 0.500 0.500 0.500
Pu1 Pu 0.125 0.875 0.750
Pu2 Pu 0.875 0.750 0.125
Pu3 Pu 0.375 0.750 0.625
Pu4 Pu 0.625 0.250 0.375
Pu5 Pu 0.750 0.875 0.625
Pu6 Pu 0.250 0.625 0.875
Pu7 Pu 0.875 0.125 0.250
Pu8 Pu 0.750 0.375 0.125
Pu9 Pu 0.125 0.250 0.875
Pu10 Pu 0.625 0.375 0.750
Pu11 Pu 0.375 0.625 0.250
Pu12 Pu 0.250 0.125 0.375